No. 1
The following is a PBE-GGA calculation of an optimized crystal structure of RbSc2MnMo, from Alexandria via LeMat-Bulk.

Output
The total magnetization comes out at 4.729 μB/f.u. Its formation energy from the elements is 1.2964 eV per atom.

Structure (CIF):
```
data_RbSc2MnMo
_cell_length_a 5.075
_cell_length_b 5.075
_cell_length_c 5.835
_cell_angle_alpha 90.00
_cell_angle_beta 90.00
_cell_angle_gamma 90.00
_symmetry_space_group_name_H-M 'P 4/m m m'
_symmetry_Int_Tables_number 123
_symmetry_space_group_name_Hall '-P 4 2'
loop_
_atom_site_label
_atom_site_fract_x
_atom_site_fract_y
_atom_site_fract_z
Rb1 0.000 0.000 0.000
Sc1 0.000 0.500 0.500
Mn1 0.500 0.500 0.000
Mo1 0.000 0.000 0.500
```

***

No. 2
The following is a PBE-GGA calculation of an optimized crystal structure of AcYMgSi, from Alexandria via LeMat-Bulk.

Output
The total magnetization comes out at 0.000 μB/f.u. The raw formation energy comes out at -0.194 eV/atom.

Structure (CIF):
```
data_AcYMgSi
_cell_length_a 7.567
_cell_length_b 7.567
_cell_length_c 7.567
_cell_angle_alpha 90.00
_cell_angle_beta 90.00
_cell_angle_gamma 90.00
_symmetry_space_group_name_H-M 'F -4 3 m'
_symmetry_Int_Tables_number 216
_symmetry_space_group_name_Hall 'F -4 2 3'
loop_
_atom_site_label
_atom_site_fract_x
_atom_site_fract_y
_atom_site_fract_z
Ac1 0.000 0.000 0.000
Y1 0.000 0.000 0.500
Mg1 0.250 0.250 0.250
Si1 0.250 0.250 0.750
```

***

No. 3
The following is a PBE-GGA calculation of an optimized crystal structure of BaInCo, from Alexandria via LeMat-Bulk.

Output
The total magnetization comes out at 1.005 μB/f.u. Its formation energy from the elements is 0.9937 eV per atom.

Structure (CIF):
```
data_BaInCo
_cell_length_a 7.599
_cell_length_b 7.599
_cell_length_c 7.599
_cell_angle_alpha 90.00
_cell_angle_beta 90.00
_cell_angle_gamma 90.00
_symmetry_space_group_name_H-M 'F -4 3 m'
_symmetry_Int_Tables_number 216
_symmetry_space_group_name_Hall 'F -4 2 3'
loop_
_atom_site_label
_atom_site_fract_x
_atom_site_fract_y
_atom_site_fract_z
Ba1 0.000 0.000 0.000
In1 0.250 0.250 0.750
Co1 0.250 0.250 0.250
```

***

No. 4
The following is a PBE-GGA calculation of an optimized crystal structure of Ac2AlIrPt, from Alexandria via LeMat-Bulk.

Output
The total magnetization comes out at 0.000 μB/f.u. Its formation energy from the elements is -0.8492 eV per atom.

Structure (CIF):
```
data_Ac2AlIrPt
_cell_length_a 4.299
_cell_length_b 4.299
_cell_length_c 14.519
_cell_angle_alpha 90.00
_cell_angle_beta 90.00
_cell_angle_gamma 90.00
_symmetry_space_group_name_H-M 'P 4/n m m'
_symmetry_Int_Tables_number 129
loop_
_symmetry_equiv_pos_as_xyz
'x,y,z'
'-x,-y,-z'
'-y+1/2,x,z'
'y+1/2,-x,-z'
'-x+1/2,-y+1/2,z'
'x+1/2,y+1/2,-z'
'y,-x+1/2,z'
'-y,x+1/2,-z'
'x+1/2,-y,-z'
'-x+1/2,y,z'
'-y,-x,-z'
'y,x,z'
'-x,y+1/2,-z'
'x,-y+1/2,z'
'y+1/2,x+1/2,-z'
'-y+1/2,-x+1/2,z'
loop_
_atom_site_label
_atom_site_fract_x
_atom_site_fract_y
_atom_site_fract_z
Ac1 0.250 0.250 0.101
Ac2 0.250 0.250 0.689
Al1 0.250 0.750 0.500
Ir1 0.250 0.250 0.888
Pt1 0.250 0.250 0.402
```

***

No. 5
The following is a PBE-GGA calculation of an optimized crystal structure of SrCaPr2, from Alexandria via LeMat-Bulk.

Output
The total magnetization comes out at 0.000 μB/f.u. The calculation puts the energy relative to the lowest polymorph listed for this composition at 24.3 meV/atom. Its formation energy from the elements is 0.1481 eV per atom.

Structure (CIF):
```
data_SrCaPr2
_cell_length_a 5.271
_cell_length_b 5.271
_cell_length_c 5.807
_cell_angle_alpha 90.00
_cell_angle_beta 90.00
_cell_angle_gamma 90.00
_symmetry_space_group_name_H-M 'P 4/m m m'
_symmetry_Int_Tables_number 123
_symmetry_space_group_name_Hall '-P 4 2'
loop_
_atom_site_label
_atom_site_fract_x
_atom_site_fract_y
_atom_site_fract_z
Sr1 0.000 0.000 0.000
Ca1 0.500 0.500 0.000
Pr1 0.000 0.500 0.500
```

***

No. 6
The following is a PBE-GGA calculation of an optimized crystal structure of HoTm5Ru4, from Alexandria via LeMat-Bulk.

Output
The total magnetization comes out at 0.000 μB/f.u. Its formation energy from the elements is -0.3339 eV per atom.

Structure (CIF):
```
data_HoTm5Ru4
_cell_length_a 14.147
_cell_length_b 4.801
_cell_length_c 6.645
_cell_angle_alpha 90.00
_cell_angle_beta 90.22
_cell_angle_gamma 90.00
_symmetry_space_group_name_H-M 'C 1 2/m 1'
_symmetry_Int_Tables_number 12
loop_
_symmetry_equiv_pos_as_xyz
'x,y,z'
'-x,-y,-z'
'-x,y,-z'
'x,-y,z'
'x+1/2,y+1/2,z'
'-x+1/2,-y+1/2,-z'
'-x+1/2,y+1/2,-z'
'x+1/2,-y+1/2,z'
loop_
_atom_site_label
_atom_site_fract_x
_atom_site_fract_y
_atom_site_fract_z
Ho1 0.000 0.000 0.000
Tm1 0.000 0.000 0.500
Tm2 0.167 0.500 0.001
Tm3 0.167 0.500 0.500
Ru1 0.001 0.500 0.749
Ru2 0.165 0.000 0.750
```